An optimized crystal structure of Nb2ZnRu3, computed with PBE.

POSCAR file:
```
Nb2ZnRu3
1.0
3.2071 0.0000 0.0000
0.0000 4.1580 -1.3765
0.0000 -0.0147 6.9239
Nb Ru Zn
2 3 1
Direct
0.0000 0.3403 0.6807 Nb
0.0000 0.6597 0.3193 Nb
0.5000 0.8298 0.6596 Ru
0.5000 0.5000 0.0000 Ru
0.5000 0.1702 0.3404 Ru
0.0000 0.0000 0.0000 Zn
```

Results
**Energy relative to the elements**: -0.279 eV/atom